Material: Mg2Zn2Pd
Method: DFT, PBE-GGA
State: relaxed

* ΔE_f: -5 kJ/mol of atoms
* size of the total moment: 0.0 μB/cell

The structure in CIF format:
```
data_Mg2Zn2Pd
_cell_length_a 7.351
_cell_length_b 7.351
_cell_length_c 3.213
_cell_angle_alpha 90.00
_cell_angle_beta 90.00
_cell_angle_gamma 90.00
_space_group_name_H-M_alt 'P 4/m b m'
_space_group_IT_number 127
_space_group_name_Hall '-P 4 2ab'
loop_
_atom_site_label
_atom_site_type_symbol
_atom_site_fract_x
_atom_site_fract_y
_atom_site_fract_z
Mg1 Mg 0.161 0.339 0.000
Zn1 Zn 0.137 0.637 0.500
Pd1 Pd 0.000 0.000 0.000
```


Material: CdIn3Ag6
Method: DFT, PBE-GGA
State: relaxed

* ΔE_f: 0 kJ/mol of atoms
* size of the total moment: 0.0 μB/cell

The structure in CIF format:
```
data_CdIn3Ag6
_cell_length_a 9.070
_cell_length_b 4.434
_cell_length_c 9.899
_cell_angle_alpha 90.00
_cell_angle_beta 94.57
_cell_angle_gamma 90.00
_space_group_name_H-M_alt 'P 1 21/m 1'
_space_group_IT_number 11
loop_
_space_group_symop_operation_xyz
'x,y,z'
'-x,-y,-z'
'-x,y+1/2,-z'
'x,-y+1/2,z'
loop_
_atom_site_label
_atom_site_type_symbol
_atom_site_fract_x
_atom_site_fract_y
_atom_site_fract_z
Cd1 Cd 0.052 0.250 0.395
In1 In 0.245 0.250 0.010
In2 In 0.344 0.750 0.802
In3 In 0.448 0.250 0.601
Ag1 Ag 0.049 0.750 0.901
Ag2 Ag 0.143 0.250 0.699
Ag3 Ag 0.152 0.750 0.202
Ag4 Ag 0.244 0.750 0.496
Ag5 Ag 0.350 0.250 0.300
Ag6 Ag 0.452 0.750 0.101
```


Material: HoGa2Pd4
Method: DFT, PBE-GGA
State: relaxed

* ΔE_f: -71 kJ/mol of atoms
* size of the total moment: 0.0 μB/cell

The structure in CIF format:
```
data_HoGa2Pd4
_cell_length_a 7.855
_cell_length_b 7.855
_cell_length_c 3.933
_cell_angle_alpha 90.00
_cell_angle_beta 90.00
_cell_angle_gamma 90.00
_space_group_name_H-M_alt 'P 42/m n m'
_space_group_IT_number 136
_space_group_name_Hall '-P 4n 2n'
loop_
_atom_site_label
_atom_site_type_symbol
_atom_site_fract_x
_atom_site_fract_y
_atom_site_fract_z
Ho1 Ho 0.000 0.000 0.000
Ga1 Ga 0.223 0.223 0.500
Pd1 Pd 0.078 0.671 0.500
```


Material: ZrRu5
Method: DFT, PBE-GGA
State: relaxed

* ΔE_f: 0 kJ/mol of atoms
* size of the total moment: 0.0 μB/cell

The structure in CIF format:
```
data_ZrRu5
_cell_length_a 4.393
_cell_length_b 2.829
_cell_length_c 14.580
_cell_angle_alpha 90.00
_cell_angle_beta 90.00
_cell_angle_gamma 90.00
_space_group_name_H-M_alt 'A m m 2'
_space_group_IT_number 38
loop_
_space_group_symop_operation_xyz
'x,y,z'
'-x,-y,z'
'-x,y,z'
'x,-y,z'
'x,y+1/2,z+1/2'
'-x,-y+1/2,z+1/2'
'-x,y+1/2,z+1/2'
'x,-y+1/2,z+1/2'
loop_
_atom_site_label
_atom_site_type_symbol
_atom_site_fract_x
_atom_site_fract_y
_atom_site_fract_z
Zr1 Zr 0.000 0.000 0.000
Ru1 Ru 0.000 0.000 0.325
Ru2 Ru 0.000 0.000 0.674
Ru3 Ru 0.500 0.000 0.118
Ru4 Ru 0.500 0.000 0.440
Ru5 Ru 0.500 0.000 0.781
```


Material: PaCoAu
Method: DFT, PBE-GGA
State: relaxed

* ΔE_f: -44 kJ/mol of atoms
* size of the total moment: 0.0 μB/cell

The structure in CIF format:
```
data_PaCoAu
_cell_length_a 3.551
_cell_length_b 16.965
_cell_length_c 3.697
_cell_angle_alpha 90.00
_cell_angle_beta 90.00
_cell_angle_gamma 90.00
_space_group_name_H-M_alt 'C m c m'
_space_group_IT_number 63
_space_group_name_Hall '-C 2c 2'
loop_
_atom_site_label
_atom_site_type_symbol
_atom_site_fract_x
_atom_site_fract_y
_atom_site_fract_z
Pa1 Pa 0.000 0.096 0.250
Co1 Co 0.000 0.446 0.250
Au1 Au 0.000 0.290 0.250
```


Material: Li2CaBeAu4
Method: DFT, PBE-GGA
State: relaxed

* ΔE_f: -46 kJ/mol of atoms
* size of the total moment: 0.0 μB/cell

The structure in CIF format:
```
data_Li2CaBeAu4
_cell_length_a 4.4360
_cell_length_b 4.4360
_cell_length_c 24.7787
_cell_angle_alpha 90.00
_cell_angle_beta 90.00
_cell_angle_gamma 120.00
_space_group_name_H-M_alt 'R -3 m'
_space_group_IT_number 166
_space_group_name_Hall '-R 3 2"'
loop_
_atom_site_label
_atom_site_type_symbol
_atom_site_fract_x
_atom_site_fract_y
_atom_site_fract_z
Li1 Li 0.0000 0.0000 0.2422
Ca1 Ca 0.0000 0.0000 0.0000
Be1 Be 0.0000 0.0000 0.5000
Au1 Au 0.0000 0.0000 0.1352
Au2 Au 0.0000 0.0000 0.4039
```


Material: CuI2O2
Method: DFT, PBE-GGA
State: relaxed

* ΔE_f (raw): 4.31 eV per formula unit
* size of the total moment: 0.0 μB/cell

The structure in CIF format:
```
data_CuI2O2
_cell_length_a 4.833
_cell_length_b 4.833
_cell_length_c 3.921
_cell_angle_alpha 90.00
_cell_angle_beta 90.00
_cell_angle_gamma 90.00
_space_group_name_H-M_alt 'P 4/m m m'
_space_group_IT_number 123
_space_group_name_Hall '-P 4 2'
loop_
_atom_site_label
_atom_site_type_symbol
_atom_site_fract_x
_atom_site_fract_y
_atom_site_fract_z
Cu1 Cu 0.000 0.000 0.000
I1 I 0.000 0.500 0.500
O1 O 0.500 0.500 0.000
O2 O 0.500 0.500 0.500
```


Material: SiTe2Ir
Method: DFT, PBE-GGA
State: relaxed

* ΔE_f (raw): 1.40 eV per formula unit
* size of the total moment: 0.0 μB/cell

The structure in CIF format:
```
data_SiTe2Ir
_cell_length_a 3.9737
_cell_length_b 3.9737
_cell_length_c 25.0490
_cell_angle_alpha 90.00
_cell_angle_beta 90.00
_cell_angle_gamma 120.00
_space_group_name_H-M_alt 'R -3 m'
_space_group_IT_number 166
_space_group_name_Hall '-R 3 2"'
loop_
_atom_site_label
_atom_site_type_symbol
_atom_site_fract_x
_atom_site_fract_y
_atom_site_fract_z
Si1 Si 0.0000 0.0000 0.0000
Te1 Te 0.0000 0.0000 0.1131
Ir1 Ir 0.0000 0.0000 0.5000
```


Material: Tb2SmO
Method: DFT, PBE-GGA
State: relaxed

* ΔE_f (raw): -5.36 eV per formula unit
* size of the total moment: 0.0 μB/cell

The structure in CIF format:
```
data_Tb2SmO
_cell_length_a 3.5410
_cell_length_b 3.5410
_cell_length_c 26.4822
_cell_angle_alpha 90.00
_cell_angle_beta 90.00
_cell_angle_gamma 120.00
_space_group_name_H-M_alt 'R -3 m'
_space_group_IT_number 166
_space_group_name_Hall '-R 3 2"'
loop_
_atom_site_label
_atom_site_type_symbol
_atom_site_fract_x
_atom_site_fract_y
_atom_site_fract_z
Tb1 Tb 0.0000 0.0000 0.2187
Sm1 Sm 0.0000 0.0000 0.0000
O1 O 0.0000 0.0000 0.5000
```


Material: SiTe2As
Method: DFT, PBE-GGA
State: relaxed

* ΔE_f (raw): 0.53 eV per formula unit
* size of the total moment: 0.0 μB/cell

The structure in CIF format:
```
data_SiTe2As
_cell_length_a 3.553
_cell_length_b 3.553
_cell_length_c 8.631
_cell_angle_alpha 90.00
_cell_angle_beta 90.00
_cell_angle_gamma 90.00
_space_group_name_H-M_alt 'P 4 m m'
_space_group_IT_number 99
loop_
_space_group_symop_operation_xyz
'x,y,z'
'-y,x,z'
'-x,-y,z'
'y,-x,z'
'-x,y,z'
'y,x,z'
'x,-y,z'
'-y,-x,z'
loop_
_atom_site_label
_atom_site_type_symbol
_atom_site_fract_x
_atom_site_fract_y
_atom_site_fract_z
Si1 Si 0.000 0.000 0.000
Te1 Te 0.000 0.000 0.708
Te2 Te 0.500 0.500 0.358
As1 As 0.500 0.500 0.059
```


Material: ZrAlF2
Method: DFT, PBE-GGA
State: relaxed

* ΔE_f (raw): -7.36 eV per formula unit
* size of the total moment: 0.4 μB/cell

The structure in CIF format:
```
data_ZrAlF2
_cell_length_a 2.9473
_cell_length_b 2.9473
_cell_length_c 22.7453
_cell_angle_alpha 90.00
_cell_angle_beta 90.00
_cell_angle_gamma 120.00
_space_group_name_H-M_alt 'R -3 m'
_space_group_IT_number 166
_space_group_name_Hall '-R 3 2"'
loop_
_atom_site_label
_atom_site_type_symbol
_atom_site_fract_x
_atom_site_fract_y
_atom_site_fract_z
Zr1 Zr 0.0000 0.0000 0.0000
Al1 Al 0.0000 0.0000 0.5000
F1 F 0.0000 0.0000 0.4073
```


Material: Zn3ReN4
Method: DFT, PBE-GGA
State: relaxed

* ΔE_f (raw): 0.06 eV per formula unit
* size of the total moment: 0.0 μB/cell

The structure in CIF format:
```
data_Zn3ReN4
_cell_length_a 6.570
_cell_length_b 5.691
_cell_length_c 5.399
_cell_angle_alpha 90.00
_cell_angle_beta 90.00
_cell_angle_gamma 90.00
_space_group_name_H-M_alt 'P m n 21'
_space_group_IT_number 31
loop_
_space_group_symop_operation_xyz
'x,y,z'
'-x+1/2,-y,z+1/2'
'-x,y,z'
'x+1/2,-y,z+1/2'
loop_
_atom_site_label
_atom_site_type_symbol
_atom_site_fract_x
_atom_site_fract_y
_atom_site_fract_z
Zn1 Zn 0.000 0.163 0.000
Zn2 Zn 0.249 0.665 0.999
Re1 Re 0.000 0.833 0.501
N1 N 0.000 0.145 0.616
N2 N 0.000 0.825 0.153
N3 N 0.235 0.678 0.616
```


Material: Er4Pt5Rh
Method: DFT, PBE-GGA
State: relaxed

* ΔE_f: -113 kJ/mol of atoms
* size of the total moment: 0.0 μB/cell

The structure in CIF format:
```
data_Er4Pt5Rh
_cell_length_a 16.498
_cell_length_b 4.420
_cell_length_c 5.590
_cell_angle_alpha 90.00
_cell_angle_beta 100.24
_cell_angle_gamma 90.00
_space_group_name_H-M_alt 'C 1 2/m 1'
_space_group_IT_number 12
loop_
_space_group_symop_operation_xyz
'x,y,z'
'-x,-y,-z'
'-x,y,-z'
'x,-y,z'
'x+1/2,y+1/2,z'
'-x+1/2,-y+1/2,-z'
'-x+1/2,y+1/2,-z'
'x+1/2,-y+1/2,z'
loop_
_atom_site_label
_atom_site_type_symbol
_atom_site_fract_x
_atom_site_fract_y
_atom_site_fract_z
Er1 Er 0.111 0.000 0.290
Er2 Er 0.169 0.500 0.818
Pt1 Pt 0.000 0.500 0.000
Pt2 Pt 0.059 0.000 0.765
Pt3 Pt 0.232 0.500 0.336
Rh1 Rh 0.000 0.500 0.500
```


Material: Nd5SmY2Sc
Method: DFT, PBE-GGA
State: relaxed

* ΔE_f: 12 kJ/mol of atoms
* size of the total moment: 0.0 μB/cell

The structure in CIF format:
```
data_Nd5SmY2Sc
_cell_length_a 5.405
_cell_length_b 22.047
_cell_length_c 10.266
_cell_angle_alpha 90.00
_cell_angle_beta 90.00
_cell_angle_gamma 90.00
_space_group_name_H-M_alt 'C m c 21'
_space_group_IT_number 36
loop_
_space_group_symop_operation_xyz
'x,y,z'
'-x,-y,z+1/2'
'-x,y,z'
'x,-y,z+1/2'
'x+1/2,y+1/2,z'
'-x+1/2,-y+1/2,z+1/2'
'-x+1/2,y+1/2,z'
'x+1/2,-y+1/2,z+1/2'
loop_
_atom_site_label
_atom_site_type_symbol
_atom_site_fract_x
_atom_site_fract_y
_atom_site_fract_z
Nd1 Nd 0.000 0.000 0.000
Nd2 Nd 0.000 0.125 0.250
Nd3 Nd 0.000 0.221 0.938
Nd4 Nd 0.000 0.222 0.564
Nd5 Nd 0.000 0.499 0.750
Sm1 Sm 0.000 0.101 0.750
Y1 Y 0.000 0.383 0.001
Y2 Y 0.000 0.384 0.499
Sc1 Sc 0.000 0.284 0.251
```


Material: CsIr3Br
Method: DFT, PBE-GGA
State: relaxed

* ΔE_f (raw): 15.87 eV per formula unit
* size of the total moment: 4.2 μB/cell

The structure in CIF format:
```
data_CsIr3Br
_cell_length_a 5.185
_cell_length_b 5.185
_cell_length_c 5.185
_cell_angle_alpha 90.00
_cell_angle_beta 90.00
_cell_angle_gamma 90.00
_space_group_name_H-M_alt 'P m -3 m'
_space_group_IT_number 221
_space_group_name_Hall '-P 4 2 3'
loop_
_atom_site_label
_atom_site_type_symbol
_atom_site_fract_x
_atom_site_fract_y
_atom_site_fract_z
Cs1 Cs 0.000 0.000 0.000
Ir1 Ir 0.000 0.000 0.500
Br1 Br 0.500 0.500 0.500
```


Material: SrLiAl2
Method: DFT, PBE-GGA
State: relaxed

* ΔE_f: -19 kJ/mol of atoms
* size of the total moment: 0.0 μB/cell

The structure in CIF format:
```
data_SrLiAl2
_cell_length_a 7.507
_cell_length_b 4.525
_cell_length_c 11.471
_cell_angle_alpha 90.00
_cell_angle_beta 90.00
_cell_angle_gamma 90.00
_space_group_name_H-M_alt 'P n m a'
_space_group_IT_number 62
loop_
_space_group_symop_operation_xyz
'x,y,z'
'-x,-y,-z'
'-x+1/2,-y,z+1/2'
'x+1/2,y,-z+1/2'
'x+1/2,-y+1/2,-z+1/2'
'-x+1/2,y+1/2,z+1/2'
'-x,y+1/2,-z'
'x,-y+1/2,z'
loop_
_atom_site_label
_atom_site_type_symbol
_atom_site_fract_x
_atom_site_fract_y
_atom_site_fract_z
Sr1 Sr 0.240 0.250 0.177
Li1 Li 0.060 0.750 0.403
Al1 Al 0.065 0.250 0.880
Al2 Al 0.217 0.750 0.964
```


Material: TbZrAsSe
Method: DFT, PBE-GGA
State: relaxed

* ΔE_f (raw): -4.77 eV per formula unit
* size of the total moment: 0.0 μB/cell

The structure in CIF format:
```
data_TbZrAsSe
_cell_length_a 4.5773
_cell_length_b 4.5773
_cell_length_c 33.2758
_cell_angle_alpha 90.00
_cell_angle_beta 90.00
_cell_angle_gamma 120.00
_space_group_name_H-M_alt 'R -3 m'
_space_group_IT_number 166
_space_group_name_Hall '-R 3 2"'
loop_
_atom_site_label
_atom_site_type_symbol
_atom_site_fract_x
_atom_site_fract_y
_atom_site_fract_z
Tb1 Tb 0.0000 0.0000 0.1061
Zr1 Zr 0.0000 0.0000 0.3027
As1 As 0.0000 0.0000 0.3847
Se1 Se 0.0000 0.0000 0.2005
```


Material: PaIrRhAu
Method: DFT, PBE-GGA
State: relaxed

* ΔE_f: -50 kJ/mol of atoms
* size of the total moment: 0.0 μB/cell

The structure in CIF format:
```
data_PaIrRhAu
_cell_length_a 6.651
_cell_length_b 6.651
_cell_length_c 6.651
_cell_angle_alpha 90.00
_cell_angle_beta 90.00
_cell_angle_gamma 90.00
_space_group_name_H-M_alt 'F -4 3 m'
_space_group_IT_number 216
_space_group_name_Hall 'F -4 2 3'
loop_
_atom_site_label
_atom_site_type_symbol
_atom_site_fract_x
_atom_site_fract_y
_atom_site_fract_z
Pa1 Pa 0.000 0.000 0.000
Ir1 Ir 0.250 0.250 0.750
Rh1 Rh 0.250 0.250 0.250
Au1 Au 0.000 0.000 0.500
```


Material: Rb3TmO3
Method: DFT, PBE-GGA
State: relaxed

* ΔE_f (raw): -13.70 eV per formula unit
* size of the total moment: 0.5 μB/cell

The structure in CIF format:
```
data_Rb3TmO3
_cell_length_a 7.804
_cell_length_b 7.396
_cell_length_c 11.854
_cell_angle_alpha 90.00
_cell_angle_beta 93.98
_cell_angle_gamma 90.00
_space_group_name_H-M_alt 'P 1 21/c 1'
_space_group_IT_number 14
loop_
_space_group_symop_operation_xyz
'x,y,z'
'-x,-y,-z'
'-x,y+1/2,-z+1/2'
'x,-y+1/2,z+1/2'
loop_
_atom_site_label
_atom_site_type_symbol
_atom_site_fract_x
_atom_site_fract_y
_atom_site_fract_z
Rb1 Rb 0.072 0.122 0.159
Rb2 Rb 0.354 0.159 0.920
Rb3 Rb 0.379 0.692 0.811
Tm1 Tm 0.159 0.590 0.070
O1 O 0.114 0.051 0.410
O2 O 0.254 0.648 0.549
O3 O 0.299 0.052 0.696
```


Material: CsLaS3
Method: DFT, PBE-GGA
State: relaxed

* ΔE_f (raw): -5.25 eV per formula unit
* size of the total moment: 2.0 μB/cell

The structure in CIF format:
```
data_CsLaS3
_cell_length_a 5.651
_cell_length_b 5.651
_cell_length_c 5.651
_cell_angle_alpha 90.00
_cell_angle_beta 90.00
_cell_angle_gamma 90.00
_space_group_name_H-M_alt 'P m -3 m'
_space_group_IT_number 221
_space_group_name_Hall '-P 4 2 3'
loop_
_atom_site_label
_atom_site_type_symbol
_atom_site_fract_x
_atom_site_fract_y
_atom_site_fract_z
Cs1 Cs 0.000 0.000 0.000
La1 La 0.500 0.500 0.500
S1 S 0.000 0.500 0.500
```